No. 1
Below is a relaxed structure of CdCoIr2, with properties calculated at the PBEsol level. Values from VASP.

Quantum ESPRESSO input file:
```
&SYSTEM
  ibrav = 0, nat = 4, ntyp = 3
/
ATOMIC_SPECIES
Cd 112.41 Cd.upf
Co 58.93 Co.upf
Ir 192.22 Ir.upf
CELL_PARAMETERS angstrom
4.425 0.000 0.000
0.000 4.425 0.000
0.000 0.000 2.955
ATOMIC_POSITIONS angstrom
Cd 0.000 0.000 0.000
Co 2.212 2.212 0.000
Ir 0.000 2.212 1.477
Ir 2.212 0.000 1.477
```

No. 2
Below is a relaxed structure of CdCoIr3, with properties calculated at the PBEsol level. Values from VASP.

Quantum ESPRESSO input file:
```
&SYSTEM
  ibrav = 0, nat = 5, ntyp = 3
/
ATOMIC_SPECIES
Cd 112.41 Cd.upf
Co 58.93 Co.upf
Ir 192.22 Ir.upf
CELL_PARAMETERS angstrom
4.744 0.000 0.000
0.000 4.744 0.000
0.000 0.000 4.744
ATOMIC_POSITIONS angstrom
Cd 0.000 0.000 0.000
Co 2.372 2.372 2.372
Ir 0.000 0.000 2.372
Ir 0.000 2.372 0.000
Ir 2.372 0.000 0.000
```

No. 3
Below is a relaxed structure of CdCoIr2, with properties calculated at the PBEsol level. Values from VASP.

Quantum ESPRESSO input file:
```
&SYSTEM
  ibrav = 0, nat = 4, ntyp = 3
/
ATOMIC_SPECIES
Cd 112.41 Cd.upf
Co 58.93 Co.upf
Ir 192.22 Ir.upf
CELL_PARAMETERS angstrom
4.563 -1.364 0.000
4.563 1.364 0.000
-1.029 0.000 4.589
ATOMIC_POSITIONS angstrom
Cd 0.000 0.000 0.000
Co 4.048 0.000 2.294
Ir 1.394 0.000 3.348
Ir 6.703 0.000 1.241
```

No. 4
Below is a relaxed structure of KCdCo2, with properties calculated at the PBEsol level. Values from VASP.

Quantum ESPRESSO input file:
```
&SYSTEM
  ibrav = 0, nat = 4, ntyp = 3
/
ATOMIC_SPECIES
K 39.10 K.upf
Cd 112.41 Cd.upf
Co 58.93 Co.upf
CELL_PARAMETERS angstrom
2.987 0.000 0.000
0.000 2.987 0.000
0.000 0.000 8.298
ATOMIC_POSITIONS angstrom
K 0.000 0.000 0.000
Cd 1.494 1.494 2.970
Co 0.000 0.000 4.806
Co 1.494 1.494 5.765
```

No. 5
Below is a relaxed structure of KCd3Co, with properties calculated at the PBEsol level. Values from VASP.

Quantum ESPRESSO input file:
```
&SYSTEM
  ibrav = 0, nat = 5, ntyp = 3
/
ATOMIC_SPECIES
K 39.10 K.upf
Cd 112.41 Cd.upf
Co 58.93 Co.upf
CELL_PARAMETERS angstrom
4.990 0.000 0.000
0.000 4.990 0.000
0.000 0.000 4.990
ATOMIC_POSITIONS angstrom
K 0.000 0.000 0.000
Cd 0.000 2.495 2.495
Cd 2.495 0.000 2.495
Cd 2.495 2.495 0.000
Co 2.495 2.495 2.495
```

No. 6
Below is a relaxed structure of La3CdCo, with properties calculated at the PBEsol level. Values from VASP.

Quantum ESPRESSO input file:
```
&SYSTEM
  ibrav = 0, nat = 5, ntyp = 3
/
ATOMIC_SPECIES
La 138.91 La.upf
Cd 112.41 Cd.upf
Co 58.93 Co.upf
CELL_PARAMETERS angstrom
5.238 0.000 0.000
0.000 5.238 0.000
0.000 0.000 5.238
ATOMIC_POSITIONS angstrom
La 0.000 0.000 2.619
La 0.000 2.619 0.000
La 2.619 0.000 0.000
Cd 2.619 2.619 2.619
Co 0.000 0.000 0.000
```

In order of appearance, electronic total energy = -6.644 -4.772 -6.937 -3.971 -2.300 -5.132 eV/atom.